A PBEsol-optimized structure of Ta3GaBi, computed with meta-GGA SCAN.

Structure (extended XYZ):
```
5
Lattice="-3.2970 2.7088 -2.0902 -2.2562 -3.9034 -1.4998 -2.5721 -0.0482 3.9948" Properties=species:S:1:pos:R:3 pbc="T T T"
Ga 0.0000 0.0000 0.0000
Ta -1.1281 -1.9517 -0.7499
Bi -4.0627 -0.6214 0.2024
Ta -1.6485 1.3544 -1.0451
Ta -1.2861 -0.0241 1.9974
```

Results
Its crystal system is cubic. The calculation puts the energy of formation at 6.198 eV per formula unit.

=====

A PBEsol-optimized structure of La2Ta, computed with meta-GGA SCAN.

Structure (extended XYZ):
```
6
Lattice="-2.3677 -2.6392 -0.7942 4.0450 -3.4581 -0.5681 0.6484 -0.6370 8.4948" Properties=species:S:1:pos:R:3 pbc="T T T"
La -1.3890 -2.0691 2.7051
Ta 0.4631 -4.4209 4.9983
Ta 1.7759 -2.6301 3.4452
La -0.3708 -1.3551 5.6083
La -0.0007 -0.0025 0.0103
La 0.7881 -3.2335 0.0838
```

Results
Its crystal system is orthorhombic. The relative energy among the computed polymorphs comes out at 74 meV per atom. The calculation puts the energy of formation at 1.404 eV per formula unit.

=====

A PBEsol-optimized structure of TlHN2F, computed with meta-GGA SCAN.

Structure (extended XYZ):
```
5
Lattice="-3.1120 -0.6164 0.8600 -0.4802 -1.5577 -2.8543 1.2410 -3.7226 1.8228" Properties=species:S:1:pos:R:3 pbc="T T T"
F 0.6205 -1.8613 0.9114
Tl -1.1756 -2.9483 -0.0858
H 0.0000 0.0000 0.0000
N -1.5560 -0.3082 0.4300
N -0.2401 -0.7789 -1.4271
```

Results
Its crystal system is tetragonal. The value obtained for the electronic total energy is -91.4 eV per formula unit.

=====

A PBEsol-optimized structure of Mn2CuOs, computed with meta-GGA SCAN.

Structure (extended XYZ):
```
4
Lattice="3.5679 0.0000 0.0000 0.0000 3.6339 0.0000 0.0000 0.0000 3.6339" Properties=species:S:1:pos:R:3 pbc="T T T"
Cu 1.7839 0.0000 0.0000
Mn 0.0000 0.0000 1.8170
Os 1.7839 1.8170 1.8170
Mn 0.0000 1.8170 0.0000
```

Results
Its crystal system is tetragonal. The calculation puts the energy of formation at 0.616 eV per formula unit.

=====

A PBEsol-optimized structure of NaW3I, computed with meta-GGA SCAN.

Structure (extended XYZ):
```
5
Lattice="-2.5526 -0.9778 -3.7253 -3.0056 -2.2889 2.6602 -2.4083 3.8929 0.6285" Properties=species:S:1:pos:R:3 pbc="T T T"
W -1.2042 1.9464 0.3142
Na 0.0000 0.0000 0.0000
W -1.5028 -1.1444 1.3301
W -1.2763 -0.4889 -1.8626
I -3.9833 0.3131 -0.2183
```

Results
The value obtained for the energy relative to the elements, uncorrected is 3.6323 eV/atom. Its crystal system is cubic.

=====

A PBEsol-optimized structure of BaLiB9O15, computed with meta-GGA SCAN.

Structure (extended XYZ):
```
52
Lattice="-8.2397 -2.1341 0.5781 0.7188 -7.7848 3.4149 -1.4378 1.8399 8.2054" Properties=species:S:1:pos:R:3 pbc="T T T"
B -4.2172 -5.1228 10.1474
O -2.1807 -6.8806 9.2868
O -7.6109 -3.3759 3.3001
B -1.9925 -6.9925 6.5215
O -6.1251 -6.6103 6.2705
B -2.4773 -5.6592 8.5326
O -0.7123 -3.0064 3.5156
O -6.3256 -7.7084 8.3432
O -6.8257 -1.2101 2.9186
B -7.6762 -4.5624 3.9568
Ba -8.8956 -8.0221 12.1126
O -3.1237 -0.7056 8.3640
O -2.4535 -5.8461 7.0807
O -2.8434 -1.4668 5.9795
O -8.2585 -5.1114 8.6436
O -5.1479 -2.8533 3.3687
B -4.5984 -6.9637 3.5561
O -7.3004 -1.0291 7.0174
B -6.5336 -2.4330 3.6689
B -8.1413 -3.8025 8.1399
B -4.7576 -2.9544 2.0731
B -1.2930 -3.5401 8.2511
O -5.5704 -5.3556 10.4561
B -2.7853 -0.3096 5.2733
O -5.1645 -1.7915 7.7750
O -6.8864 -3.3664 7.8598
O -2.5846 -0.3740 3.8840
B -2.3444 -6.2095 4.2443
O -7.0622 -1.4601 9.2917
B -6.9686 -1.0933 5.7033
O -5.8519 -7.3670 3.8837
B -0.8377 -4.2937 4.0649
O -2.3816 -2.8956 7.7571
O -3.7911 -6.3313 4.4465
Li -2.0401 -1.8398 2.7779
B -6.6092 -1.9189 7.9753
Li -6.5194 -5.8792 8.8770
B -6.1735 -7.7868 6.9463
O -7.9612 -7.1740 4.8472
O -1.3955 -4.7232 8.9075
B -2.3483 -1.4814 7.3729
B -4.3839 -1.1178 8.6560
O -6.5521 -2.2484 5.1229
O -1.6578 -7.0939 5.2097
Ba -4.4163 -3.9826 6.0134
B -6.6191 -6.5854 4.8774
O -3.8602 -5.2382 8.8426
O -6.5888 -5.1741 4.4887
O -2.0772 -4.7597 4.3613
O -1.8960 -6.6642 2.9268
O -1.0057 -0.8979 7.3997
O -3.4196 -2.6765 1.7458
```

Results
The value obtained for the energy relative to the elements, uncorrected is -2.7392 eV/atom. Its crystal system is trigonal.

=====

A PBEsol-optimized structure of CrW4, computed with meta-GGA SCAN.

Structure (extended XYZ):
```
5
Lattice="-2.5517 1.3507 1.1400 -3.2827 0.6517 -3.8938 -3.2095 -3.7312 1.4626" Properties=species:S:1:pos:R:3 pbc="T T T"
W -6.5962 -1.5269 -0.2778
W -2.4476 -0.2019 -1.0134
W -4.9253 -0.4049 -2.0927
Cr 0.0000 0.0000 0.0000
W -4.1186 -1.3239 0.8016
```

Results
Its crystal system is tetragonal. The calculation puts the energy of formation at 0.236 eV per formula unit.

=====

A PBEsol-optimized structure of MnBiAs2P, computed with meta-GGA SCAN.

Structure (extended XYZ):
```
5
Lattice="4.3674 0.0000 0.0000 0.0000 4.3674 0.0000 0.0000 0.0000 5.3594" Properties=species:S:1:pos:R:3 pbc="T T T"
Mn 0.0000 0.0000 0.0000
P 2.1837 2.1837 2.6797
As 2.1837 0.0000 0.0000
Bi 0.0000 0.0000 2.6797
As 0.0000 2.1837 0.0000
```

Results
Its crystal system is tetragonal. The calculation puts the energy of formation at 2.759 eV per formula unit.

=====

Number 2 is which compound? La2Ta